Computed, not measured: Rb2BaErF8 after structural relaxation at the PBE level of DFT.

Computed properties:
Energy relative to the elements, uncorrected (eV/atom): -3.259
Magnetic moment (Bohr magnetons per cell): 1.13

POSCAR file:
```
Rb2BaErF8
1.0
6.2622 0.0000 0.0000
0.0000 6.2622 0.0000
-3.1311 -3.1311 5.9147
F Rb Ba Er
8 2 1 1
Direct
0.5648 0.0817 0.7248 F
0.9183 0.8400 0.2752 F
0.5648 0.6431 0.7248 F
0.1600 0.0817 0.7248 F
0.1600 0.6431 0.7248 F
0.9183 0.4352 0.2752 F
0.3569 0.8400 0.2752 F
0.3569 0.4352 0.2752 F
0.7500 0.2500 0.5000 Rb
0.0000 0.0000 0.0000 Rb
0.5000 0.5000 0.0000 Ba
0.2500 0.7500 0.5000 Er
```